Here is LiTaPd6 after structural relaxation from Alexandria. Energies are from PBE.

abc: 7.683 5.331 7.226
angles: 90.00 110.62 90.00
Space group C2/m (No. 12)
One atom of each set of equivalent atoms:
Li (0.000, 0.000, 0.000) [2 per cell]
Ta (0.000, 0.500, 0.500) [2 per cell]
Pd (0.142, 0.000, 0.432) [4 per cell]
Pd (0.198, 0.243, 0.801) [8 per cell]

Output
* Fermi-level density of states: 0.730 states/eV per atom
* formation enthalpy at 0 K: -91 meV/atom
* energy relative to the lowest polymorph listed for this composition: 31.1 kJ per mole of atoms
* total magnetic moment: 0.00 μB per atom

Here is Pr2YErTh after structural relaxation from Alexandria. Energies are from PBE.

abc: 8.989 6.364 6.471
angles: 90.00 106.77 90.00
Space group P2/c (No. 13)
One atom of each set of equivalent atoms:
Pr (0.185, 0.192, 0.334) [4 per cell]
Y (0.000, 0.329, 0.750) [2 per cell]
Er (0.500, 0.016, 0.750) [2 per cell]
Th (0.500, 0.500, 0.000) [2 per cell]

Output
* Fermi-level density of states: 1.471 states/eV per atom
* formation enthalpy at 0 K: 321 meV/atom
* total magnetic moment: 0.00 μB per atom

Here is Re2Cl after structural relaxation from Alexandria. Energies are from PBE.

abc: 2.865 4.006 7.954
angles: 90.00 90.00 90.00
Space group Immm (No. 71)
One atom of each set of equivalent atoms:
Re (0.000, 0.000, 0.173) [4 per cell]
Cl (0.000, 0.000, 0.500) [2 per cell]

Output
* Fermi-level density of states: 0.686 states/eV per atom
* energy relative to the lowest polymorph listed for this composition: 87.3 kJ per mole of atoms
* total magnetic moment: 0.00 μB per atom
* formation energy without anion corrections: 1085 meV per atom

Here is CuRu2Br after structural relaxation from Alexandria. Energies are from PBE.

abc: 5.506 5.506 10.875
angles: 90.00 90.00 90.00
Space group I-42d (No. 122)
One atom of each set of equivalent atoms:
Cu (0.000, 0.000, 0.000) [4 per cell]
Ru (0.244, 0.250, 0.625) [8 per cell]
Br (0.000, 0.000, 0.500) [4 per cell]

Output
* Fermi-level density of states: 0.462 states/eV per atom
* energy relative to the lowest polymorph listed for this composition: 87.7 kJ per mole of atoms
* total magnetic moment: 0.00 μB per atom
* formation energy without anion corrections: 1355 meV per atom